No. 1
VASP calculation (PBE) on La4Pm3S8 after structural relaxation.

Lattice parameters (Å, degrees): 8.016 8.016 8.828 63.00 63.00 60.00
Element x y z (fractional)
1 Pm 0.500 0.000 0.500
2 Pm 0.000 0.000 0.500
3 Pm 0.000 0.500 0.500
4 La 0.649 0.649 0.053
5 La 0.000 0.000 0.000
6 La 0.351 0.351 0.947
7 La 0.500 0.500 0.500
8 S 0.250 0.250 0.741
9 S 0.231 0.231 0.306
10 S 0.759 0.250 0.741
11 S 0.769 0.769 0.694
12 S 0.241 0.750 0.259
13 S 0.750 0.241 0.259
14 S 0.750 0.750 0.259
15 S 0.250 0.759 0.741

Calculated values
- ρ (kg/m3) = 4950
- formation energy from raw total energies (eV/atom) = -1.88
- DOS(E_F) (states/eV per cell) = 7.19
- total moment (μB per cell) = 0.0
- symmetry = No. 166
- energy above the lowest structure with this stoichiometry (meV per atom) = 224

No. 2
VASP calculation (PBE) on CsTbSnTe3 after structural relaxation.

Lattice parameters (Å, degrees): 4.473 9.914 12.275 111.11 90.00 90.00
Element x y z (fractional)
1 Te 0.750 0.403 0.106
2 Te 0.250 0.661 0.418
3 Te 0.250 0.128 0.793
4 Te 0.750 0.339 0.582
5 Te 0.750 0.872 0.207
6 Te 0.250 0.597 0.894
7 Tb 0.750 0.368 0.847
8 Tb 0.250 0.632 0.153
9 Cs 0.250 0.226 0.271
10 Cs 0.750 0.774 0.729
11 Sn 0.750 0.872 0.440
12 Sn 0.250 0.128 0.560

Calculated values
- ρ (kg/m3) = 5189
- formation energy from raw total energies (eV/atom) = -1.03
- total moment (μB per cell) = 0.0
- symmetry = No. 11

No. 3
VASP calculation (PBE) on TlZnPt after structural relaxation.

Lattice parameters (Å, degrees): 4.483 4.483 4.483 60.00 60.00 60.00
Element x y z (fractional)
1 Tl 0.000 0.000 0.000
2 Zn 0.500 0.500 0.500
3 Pt 0.250 0.250 0.250

Calculated values
- ρ (kg/m3) = 12115
- ΔE_f (eV per atom) = -0.1318
- DOS(E_F) (states/eV per cell) = 2.14
- total moment (μB per cell) = 0.0
- symmetry = No. 216
- energy above the lowest structure with this stoichiometry (meV per atom) = 0

No. 4
VASP calculation (PBE) on Tl2RhAu after structural relaxation.

Lattice parameters (Å, degrees): 5.049 3.335 4.835 90.00 90.00 90.00
Element x y z (fractional)
1 Rh 0.000 0.500 0.500
2 Au 0.500 0.500 0.000
3 Tl 0.000 0.000 0.000
4 Tl 0.500 0.000 0.500

Calculated values
- ρ (kg/m3) = 14453
- ΔE_f (eV per atom) = 0.1888
- DOS(E_F) (states/eV per cell) = 2.34
- total moment (μB per cell) = 0.0
- symmetry = No. 47

No. 5
VASP calculation (PBE) on Be2RuCl after structural relaxation.

Lattice parameters (Å, degrees): 4.096 4.096 4.096 60.00 60.00 60.00
Element x y z (fractional)
1 Be 0.000 0.000 0.000
2 Be 0.250 0.250 0.250
3 Cl 0.500 0.500 0.500
4 Ru 0.750 0.750 0.750

Calculated values
- ρ (kg/m3) = 5283
- formation energy from raw total energies (eV/atom) = 0.72
- DOS(E_F) (states/eV per cell) = 2.38
- total moment (μB per cell) = 0.0
- symmetry = No. 216
- energy above the lowest structure with this stoichiometry (meV per atom) = 774

No. 6
VASP calculation (PBE) on Ba2DyZnS5 after structural relaxation.

Lattice parameters (Å, degrees): 4.119 9.271 12.853 90.00 90.00 102.83
Element x y z (fractional)
1 S 0.347 0.695 0.011
2 S 0.653 0.305 0.511
3 S 0.502 0.004 0.277
4 S 0.314 0.627 0.375
5 S 0.044 0.089 0.028
6 S 0.299 0.598 0.661
7 S 0.956 0.911 0.528
8 S 0.686 0.373 0.875
9 S 0.498 0.996 0.777
10 S 0.701 0.402 0.161
11 Ba 0.118 0.236 0.690
12 Ba 0.882 0.764 0.190
13 Ba 0.128 0.256 0.326
14 Ba 0.872 0.744 0.826
15 Zn 0.557 0.114 0.935
16 Zn 0.443 0.886 0.435
17 Dy 0.799 0.598 0.520
18 Dy 0.201 0.402 0.020

Calculated values
- ρ (kg/m3) = 4600
- formation energy from raw total energies (eV/atom) = -1.61
- DOS(E_F) (states/eV per cell) = 14.93
- total moment (μB per cell) = 0.0
- symmetry = No. 36

No. 7
VASP calculation (PBE) on Ac2ThNiS5 after structural relaxation.

Lattice parameters (Å, degrees): 4.040 8.741 12.534 90.00 90.00 103.36
Element x y z (fractional)
1 Ac 0.883 0.767 0.848
2 Ac 0.884 0.769 0.196
3 Ac 0.116 0.231 0.696
4 Ac 0.117 0.233 0.348
5 Th 0.826 0.653 0.523
6 Th 0.174 0.347 0.023
7 S 0.313 0.627 0.365
8 S 0.687 0.373 0.865
9 S 0.016 0.032 0.006
10 S 0.303 0.607 0.683
11 S 0.659 0.319 0.522
12 S 0.697 0.393 0.183
13 S 0.496 0.992 0.760
14 S 0.984 0.968 0.506
15 S 0.504 0.008 0.260
16 S 0.341 0.681 0.022
17 Ni 0.440 0.880 0.421
18 Ni 0.560 0.120 0.921

Calculated values
- ρ (kg/m3) = 6978
- formation energy from raw total energies (eV/atom) = -1.82
- DOS(E_F) (states/eV per cell) = 3.38
- total moment (μB per cell) = 0.0
- symmetry = No. 36

No. 8
VASP calculation (PBE) on Mg3Al18Cr2 after structural relaxation.

Lattice parameters (Å, degrees): 10.239 10.239 10.239 60.00 60.00 60.00
Element x y z (fractional)
1 Al 0.067 0.334 0.800
2 Al 0.916 0.450 0.183
3 Al 0.640 0.360 0.640
4 Al 0.890 0.610 0.890
5 Al 0.450 0.183 0.450
6 Al 0.800 0.334 0.067
7 Al 0.183 0.916 0.450
8 Al 0.450 0.916 0.183
9 Al 0.183 0.450 0.450
10 Al 0.800 0.067 0.800
11 Al 0.800 0.800 0.067
12 Al 0.450 0.450 0.916
13 Al 0.610 0.610 0.890
14 Al 0.610 0.890 0.610
15 Al 0.916 0.450 0.450
16 Al 0.640 0.640 0.360
17 Al 0.360 0.640 0.640
18 Al 0.334 0.800 0.800
19 Al 0.450 0.916 0.450
20 Al 0.890 0.610 0.610
21 Al 0.183 0.450 0.916
22 Al 0.916 0.183 0.450
23 Al 0.334 0.800 0.067
24 Al 0.800 0.800 0.334
25 Al 0.800 0.067 0.334
26 Al 0.360 0.360 0.640
27 Al 0.450 0.450 0.183
28 Al 0.610 0.890 0.890
29 Al 0.800 0.334 0.800
30 Al 0.360 0.640 0.360
31 Al 0.890 0.890 0.610
32 Al 0.067 0.800 0.334
33 Al 0.640 0.360 0.360
34 Al 0.067 0.800 0.800
35 Al 0.450 0.183 0.916
36 Al 0.334 0.067 0.800
37 Mg 0.125 0.125 0.125
38 Mg 0.625 0.125 0.125
39 Mg 0.125 0.625 0.125
40 Mg 0.250 0.250 0.250
41 Mg 0.000 0.000 0.000
42 Mg 0.125 0.125 0.625
43 Cr 0.625 0.625 0.125
44 Cr 0.625 0.125 0.625
45 Cr 0.125 0.625 0.625
46 Cr 0.625 0.625 0.625

Calculated values
- ρ (kg/m3) = 2899
- ΔE_f (eV per atom) = -0.1054
- DOS(E_F) (states/eV per cell) = 21.60
- total moment (μB per cell) = 0.0
- symmetry = No. 227

No. 9
VASP calculation (PBE) on YTl2Cl after structural relaxation.

Lattice parameters (Å, degrees): 5.448 5.448 5.448 60.00 60.00 60.00
Element x y z (fractional)
1 Tl 0.250 0.250 0.250
2 Tl 0.750 0.750 0.750
3 Y 0.500 0.500 0.500
4 Cl 0.000 0.000 0.000

Calculated values
- ρ (kg/m3) = 7745
- formation energy from raw total energies (eV/atom) = -0.15
- DOS(E_F) (states/eV per cell) = 3.07
- total moment (μB per cell) = 0.0
- symmetry = No. 225
- energy above the lowest structure with this stoichiometry (meV per atom) = 590

No. 10
VASP calculation (PBE) on Ac8GaNi3I4 after structural relaxation.

Lattice parameters (Å, degrees): 8.920 9.939 8.921 116.69 120.00 90.00
Element x y z (fractional)
1 Ni 0.000 0.500 0.500
2 Ni 0.500 0.500 0.000
3 Ni 0.500 0.500 0.500
4 I 0.500 0.000 0.500
5 I 0.000 0.000 0.500
6 I 0.500 0.000 0.000
7 I 0.000 0.000 0.000
8 Ac 0.270 0.311 0.541
9 Ac 0.236 0.686 0.473
10 Ac 0.764 0.314 0.527
11 Ac 0.713 0.686 0.949
12 Ac 0.730 0.689 0.459
13 Ac 0.237 0.686 0.949
14 Ac 0.287 0.314 0.051
15 Ac 0.763 0.314 0.051
16 Ga 0.000 0.500 0.000

Calculated values
- ρ (kg/m3) = 7285
- formation energy from raw total energies (eV/atom) = -0.69
- DOS(E_F) (states/eV per cell) = 13.55
- total moment (μB per cell) = 0.0
- symmetry = No. 166

No. 11
VASP calculation (PBE) on KMg2Cr after structural relaxation.

Lattice parameters (Å, degrees): 6.699 6.699 6.699 151.54 128.81 59.61
Site moments in Bohr magnetons follow the coordinates.
Element x y z (fractional)
1 Cr 0.529 0.529 0.000  3.94
2 Mg 0.734 0.234 0.500  -0.01
3 Mg 0.976 0.976 0.000  -0.02
4 K 0.261 0.761 0.500  0.00

Calculated values
- ρ (kg/m3) = 2094
- ΔE_f (eV per atom) = 0.6211
- DOS(E_F) (states/eV per cell) = 2.52
- total moment (μB per cell) = 4.6
- symmetry = No. 44
- energy above the lowest structure with this stoichiometry (meV per atom) = 163

No. 12
VASP calculation (PBE) on TaMnAl2 after structural relaxation.

Lattice parameters (Å, degrees): 9.172 9.172 9.172 17.92 17.92 17.92
Site moments in Bohr magnetons follow the coordinates.
Element x y z (fractional)
1 Al 0.999 0.999 0.999  0.00
2 Al 0.246 0.246 0.246  -0.02
3 Ta 0.752 0.752 0.752  -0.14
4 Mn 0.503 0.503 0.503  2.62

Calculated values
- ρ (kg/m3) = 7551
- ΔE_f (eV per atom) = 0.0370
- DOS(E_F) (states/eV per cell) = 4.13
- total moment (μB per cell) = 2.4
- symmetry = No. 160
- energy above the lowest structure with this stoichiometry (meV per atom) = 253

Question: Among the records above, which one has the highest total moment?
Answer: KMg2Cr